1.
Computed, not measured: a relaxed CdHRh3 crystal at the PBE-GGA level of DFT.

crystal system = orthorhombic
VASP energy = -5.25 eV/atom
calculated density = 10.716 g/cm³

```
data_CdHRh3
_chemical_formula_sum 'Cd2 H2 Rh6'
_symmetry_space_group_name_H-M 'A m m 2'
_symmetry_Int_Tables_number 38
_cell_length_a 2.8297
_cell_length_b 5.7528
_cell_length_c 8.0364
_cell_angle_alpha 90.00
_cell_angle_beta 90.00
_cell_angle_gamma 90.00
loop_
_symmetry_equiv_pos_as_xyz
'x,y,z'
'-x,-y,z'
'-x,y,z'
'x,-y,z'
'x,y+1/2,z+1/2'
'-x,-y+1/2,z+1/2'
'-x,y+1/2,z+1/2'
'x,-y+1/2,z+1/2'
loop_
_atom_site_label
_atom_site_type_symbol
_atom_site_fract_x
_atom_site_fract_y
_atom_site_fract_z
Cd1 Cd 0.0000 0.0000 0.0000
H1 H 0.5000 0.0000 0.6317
Rh1 Rh 0.0000 0.0000 0.4822
Rh2 Rh 0.5000 0.2414 0.2538
```



2.
Computed, not measured: a relaxed LaZnIn2 crystal at the PBE-GGA level of DFT.

crystal system = tetragonal
VASP energy = -3.16 eV/atom
calculated density = 6.865 g/cm³
energy of formation from the pure elements = -92.4 kJ/mol of formula units

```
data_LaZnIn2
_chemical_formula_sum 'La2 Zn2 In4'
_symmetry_space_group_name_H-M 'I 4/m m m'
_symmetry_Int_Tables_number 139
_symmetry_space_group_name_Hall '-I 4 2'
_cell_length_a 4.6697
_cell_length_b 4.6697
_cell_length_c 9.6273
_cell_angle_alpha 90.00
_cell_angle_beta 90.00
_cell_angle_gamma 90.00
loop_
_atom_site_label
_atom_site_type_symbol
_atom_site_fract_x
_atom_site_fract_y
_atom_site_fract_z
La1 La 0.0000 0.0000 0.0000
Zn1 Zn 0.0000 0.0000 0.5000
In1 In 0.0000 0.5000 0.2500
```



3.
Computed, not measured: a relaxed Sm3Zr crystal at the PBE-GGA level of DFT.

crystal system = orthorhombic
VASP energy = -5.54 eV/atom
calculated density = 7.332 g/cm³
energy of formation from the pure elements = 51.9 kJ/mol of formula units

```
data_Sm3Zr
_chemical_formula_sum 'Sm3 Zr1'
_symmetry_space_group_name_H-M 'P m m 2'
_symmetry_Int_Tables_number 25
_cell_length_a 3.5159
_cell_length_b 5.6640
_cell_length_c 6.1671
_cell_angle_alpha 90.00
_cell_angle_beta 90.00
_cell_angle_gamma 90.00
loop_
_symmetry_equiv_pos_as_xyz
'x,y,z'
'-x,-y,z'
'-x,y,z'
'x,-y,z'
loop_
_atom_site_label
_atom_site_type_symbol
_atom_site_fract_x
_atom_site_fract_y
_atom_site_fract_z
Sm1 Sm 0.0000 0.0000 0.0000
Sm2 Sm 0.0000 0.5000 0.3342
Sm3 Sm 0.5000 0.5000 0.8111
Zr1 Zr 0.5000 0.0000 0.5006
```